VASP calculation (PBE) on a relaxed structure of In2SbAs.

abc: 7.598 7.598 7.598
angles: 31.29 31.29 31.29
Element x y z (fractional)
1 In 0.241 0.241 0.241
2 In 0.759 0.759 0.759
3 Sb 0.000 0.000 0.000
4 As 0.500 0.500 0.500

Summary:
calculated total energy	-3.59	eV/atom
formation energy without anion corrections	-0.027	eV per atom

VASP calculation (PBE) on a relaxed structure of InSbAs2.

abc: 5.990 5.990 3.034
angles: 98.74 98.74 117.88
Element x y z (fractional)
1 In 0.000 0.000 0.000
2 Sb 0.500 0.500 0.000
3 As 0.000 0.500 0.500
4 As 0.500 0.000 0.500

Summary:
calculated total energy	-3.76	eV/atom
formation energy without anion corrections	0.284	eV per atom

VASP calculation (PBE) on a relaxed structure of InSbAs4.

abc: 5.860 5.860 5.860
angles: 60.00 60.00 60.00
Element x y z (fractional)
1 In 0.000 0.000 0.000
2 Sb 0.750 0.750 0.750
3 As 0.363 0.363 0.363
4 As 0.363 0.363 0.912
5 As 0.363 0.912 0.363
6 As 0.912 0.363 0.363

Summary:
calculated total energy	-3.89	eV/atom
formation energy without anion corrections	0.353	eV per atom

What is the formation energy without anion corrections in the third record? 0.353 eV per atom

Which formula does entry 1 have? In2SbAs

Which value of calculated total energy does entry 1 give? -3.59 eV/atom

Which of these has the highest formation energy without anion corrections? InSbAs4